[1]
Below is a relaxed SrHgPb2F8 crystal, with properties calculated at the PBE-GGA level.

a = 4.153 Å, b = 5.891 Å, c = 8.269 Å
α = 89.99°, β = 90.00°, γ = 89.98°
Fractional coordinates of all 12 atoms:
F  0.500  0.245  0.500
F  0.500  0.238  0.000
F  0.000  0.759  0.757
F  0.500  0.755  0.500
F  0.000  0.241  0.243
F  0.500  0.762  0.000
F  0.000  0.241  0.757
F  0.000  0.759  0.243
Pb  0.500  0.500  0.755
Pb  0.500  0.500  0.245
Sr  0.000  0.000  0.500
Hg  0.000  0.000  0.000

Values from the calculation:
The calculation puts the raw total energy at -55.0 eV per cell.



[2]
Below is a relaxed MnFeSeN2 crystal, with properties calculated at the PBE-GGA level.

a = 3.570 Å, b = 3.570 Å, c = 5.335 Å
α = 90.00°, β = 90.00°, γ = 90.00°
Each line ends with the local moment (μB).
Fractional coordinates of all 5 atoms:
Fe  0.500  0.500  0.500  3.08
Se  0.000  0.000  0.500  0.04
N  0.500  0.000  0.000  0.07
N  0.000  0.500  0.000  0.07
Mn  0.000  0.000  0.000  -0.12

Values from the calculation:
The calculation puts the raw total energy at -34.4 eV per cell.



[3]
Below is a relaxed CoCu2Au2 crystal, with properties calculated at the PBE-GGA level.

a = 6.345 Å, b = 6.345 Å, c = 3.725 Å
α = 90.00°, β = 90.00°, γ = 90.00°
Each line ends with the local moment (μB).
Fractional coordinates of all 10 atoms:
Au  0.329  0.171  0.500  -0.02
Au  0.829  0.329  0.500  -0.02
Au  0.671  0.829  0.500  -0.02
Au  0.171  0.671  0.500  -0.02
Co  0.000  0.000  0.000  1.77
Co  0.500  0.500  0.000  1.77
Cu  0.867  0.633  0.000  0.01
Cu  0.633  0.133  0.000  0.02
Cu  0.367  0.867  0.000  0.02
Cu  0.133  0.367  0.000  0.01

Values from the calculation:
For the formation energy, the calculation gives 277.8 meV/atom. The calculation puts the raw total energy at -40.9 eV per cell.



[4]
Below is a relaxed Tb3Zn9Pd2 crystal, with properties calculated at the PBE-GGA level.

a = 4.320 Å, b = 8.208 Å, c = 8.208 Å
α = 65.68°, β = 74.74°, γ = 74.74°
Fractional coordinates of all 14 atoms:
Zn  0.130  0.589  0.151
Zn  0.000  0.500  0.500
Zn  0.870  0.411  0.849
Zn  0.130  0.151  0.589
Zn  0.668  0.690  0.973
Zn  0.668  0.973  0.690
Zn  0.332  0.310  0.027
Zn  0.332  0.027  0.310
Zn  0.870  0.849  0.411
Tb  0.000  0.000  0.000
Tb  0.695  0.305  0.305
Tb  0.305  0.695  0.695
Pd  0.500  0.698  0.302
Pd  0.500  0.302  0.698

Values from the calculation:
For the formation energy, the calculation gives -463.1 meV/atom. The calculation puts the raw total energy at -42.2 eV per cell.



[5]
Below is a relaxed CaOsO3 crystal, with properties calculated at the PBE-GGA level.

a = 4.162 Å, b = 4.162 Å, c = 4.162 Å
α = 90.00°, β = 90.00°, γ = 90.00°
Each line ends with the local moment (μB).
Fractional coordinates of all 5 atoms:
Os  0.500  0.500  0.500  3.65
O  0.000  0.000  0.500  0.78
O  0.500  0.000  0.000  0.38
O  0.000  0.500  0.000  0.61
Ca  0.000  0.000  0.000  0.04

Values from the calculation:
The calculation puts the raw total energy at -25.5 eV per cell.



[6]
Below is a relaxed CaPuCrN3 crystal, with properties calculated at the PBE-GGA level.

a = 3.679 Å, b = 6.776 Å, c = 6.668 Å
α = 104.64°, β = 90.00°, γ = 105.75°
Each line ends with the local moment (μB).
Fractional coordinates of all 12 atoms:
N  0.164  0.327  0.357  -0.18
N  0.836  0.673  0.643  -0.18
N  0.498  0.995  0.720  -0.07
N  0.842  0.684  0.198  -0.16
N  0.158  0.316  0.802  -0.16
N  0.502  0.005  0.280  -0.07
Pu  0.657  0.313  0.585  3.97
Pu  0.343  0.687  0.415  3.97
Cr  0.000  0.000  0.318  0.04
Cr  0.000  0.000  0.682  0.04
Ca  0.359  0.717  0.929  0.02
Ca  0.641  0.283  0.071  0.02

Values from the calculation:
The calculation puts the raw total energy at -113.1 eV per cell.



[7]
Below is a relaxed MnHg2Rh2 crystal, with properties calculated at the PBE-GGA level.

a = 6.558 Å, b = 6.558 Å, c = 4.215 Å
α = 90.00°, β = 90.00°, γ = 90.00°
Each line ends with the local moment (μB).
Fractional coordinates of all 10 atoms:
Rh  0.138  0.362  0.000  0.05
Rh  0.638  0.138  0.000  0.04
Rh  0.862  0.638  0.000  0.05
Rh  0.362  0.862  0.000  0.04
Mn  0.500  0.500  0.000  3.77
Mn  0.000  0.000  0.000  3.77
Hg  0.331  0.169  0.500  0.01
Hg  0.831  0.331  0.500  0.01
Hg  0.669  0.831  0.500  0.01
Hg  0.169  0.669  0.500  0.01

Values from the calculation:
For the formation energy, the calculation gives 133.8 meV/atom. The calculation puts the raw total energy at -47.6 eV per cell.



[8]
Below is a relaxed MnCrNi14 crystal, with properties calculated at the PBE-GGA level.

a = 5.013 Å, b = 5.013 Å, c = 7.037 Å
α = 90.00°, β = 90.00°, γ = 90.00°
Each line ends with the local moment (μB).
Fractional coordinates of all 16 atoms:
Ni  0.624  0.126  0.249  0.49
Ni  0.875  0.875  0.000  0.69
Ni  0.375  0.375  0.000  0.46
Ni  0.375  0.875  0.500  0.41
Ni  0.875  0.375  0.500  0.41
Ni  0.126  0.126  0.249  0.49
Ni  0.126  0.624  0.751  0.49
Ni  0.126  0.624  0.249  0.49
Ni  0.875  0.375  0.000  0.64
Ni  0.126  0.126  0.751  0.49
Ni  0.624  0.126  0.751  0.49
Ni  0.375  0.875  0.000  0.64
Ni  0.624  0.624  0.751  0.49
Ni  0.624  0.624  0.249  0.49
Cr  0.375  0.375  0.500  -2.02
Mn  0.875  0.875  0.500  3.19

Values from the calculation:
For the formation energy, the calculation gives -12.9 meV/atom. The calculation puts the raw total energy at -99.9 eV per cell.



[9]
Below is a relaxed Tl3Ni2Br9 crystal, with properties calculated at the PBE-GGA level.

a = 10.048 Å, b = 10.048 Å, c = 10.048 Å
α = 73.69°, β = 73.69°, γ = 73.69°
Each line ends with the local moment (μB).
Fractional coordinates of all 28 atoms:
Tl  0.750  0.087  0.413  0.00
Tl  0.087  0.413  0.750  0.00
Tl  0.413  0.750  0.087  0.00
Tl  0.250  0.913  0.587  0.00
Tl  0.587  0.250  0.913  0.00
Tl  0.913  0.587  0.250  0.00
Ni  0.323  0.323  0.323  0.71
Ni  0.823  0.823  0.823  0.71
Ni  0.677  0.677  0.677  0.71
Ni  0.177  0.177  0.177  0.71
Br  0.056  0.718  0.880  0.03
Br  0.282  0.120  0.944  0.03
Br  0.944  0.282  0.120  0.03
Br  0.880  0.056  0.718  0.03
Br  0.782  0.444  0.620  0.03
Br  0.589  0.911  0.750  0.08
Br  0.444  0.620  0.782  0.03
Br  0.750  0.589  0.911  0.08
Br  0.120  0.944  0.282  0.03
Br  0.218  0.556  0.380  0.03
Br  0.411  0.089  0.250  0.08
Br  0.620  0.782  0.444  0.03
Br  0.380  0.218  0.556  0.03
Br  0.250  0.411  0.089  0.08
Br  0.089  0.250  0.411  0.08
Br  0.911  0.750  0.589  0.08
Br  0.718  0.880  0.056  0.03
Br  0.556  0.380  0.218  0.03

Values from the calculation:
The calculation puts the raw total energy at -81.2 eV per cell.



[10]
Below is a relaxed Zr2SbRh2 crystal, with properties calculated at the PBE-GGA level.

a = 7.590 Å, b = 7.590 Å, c = 3.321 Å
α = 90.00°, β = 90.00°, γ = 90.00°
Fractional coordinates of all 10 atoms:
Sb  0.000  0.000  0.000
Sb  0.500  0.500  0.000
Rh  0.131  0.369  0.000
Rh  0.631  0.131  0.000
Rh  0.369  0.869  0.000
Rh  0.869  0.631  0.000
Zr  0.334  0.166  0.500
Zr  0.834  0.334  0.500
Zr  0.666  0.834  0.500
Zr  0.166  0.666  0.500

Values from the calculation:
The calculation puts the raw total energy at -79.2 eV per cell.



[11]
Below is a relaxed La3InAg2 crystal, with properties calculated at the PBE-GGA level.

a = 3.805 Å, b = 3.805 Å, c = 12.006 Å
α = 90.00°, β = 90.00°, γ = 90.00°
Fractional coordinates of all 6 atoms:
La  0.000  0.000  0.000
La  0.000  0.000  0.324
La  0.000  0.000  0.676
Ag  0.500  0.500  0.160
Ag  0.500  0.500  0.840
In  0.500  0.500  0.500

Values from the calculation:
For the formation energy, the calculation gives -341.1 meV/atom. The calculation puts the raw total energy at -25.3 eV per cell.



[12]
Below is a relaxed Tl2ReW crystal, with properties calculated at the PBE-GGA level.

a = 5.126 Å, b = 5.126 Å, c = 5.126 Å
α = 130.61°, β = 130.61°, γ = 72.43°
Fractional coordinates of all 4 atoms:
W  0.500  0.500  0.000
Re  0.750  0.250  0.500
Tl  0.000  0.000  0.000
Tl  0.250  0.750  0.500

Values from the calculation:
For the formation energy, the calculation gives 1243.0 meV/atom. The calculation puts the raw total energy at -25.2 eV per cell.



raw total energy of number 8 (MnCrNi14)? -99.9 eV per cell



Look up the raw total energy of the tenth one. -79.2 eV per cell



The lowest raw total energy belongs to which entry? CaPuCrN3



Among the records above, which one has the lowest raw total energy? CaPuCrN3